1.
Below is a relaxed DyHoCuRh crystal, with properties calculated at the PBE-GGA level.

Computed properties:
N(E_F) (states/eV per atom): 0.6841
Formation energy from the elements (eV per atom): -0.594
Excess energy over the best structure of this formula in the dataset (meV per atom): 0

abc: 4.3719 3.7604 10.3418
angles: 90.00 90.00 90.00
Last column: nearest neighbours and their distance in Å.
Fractional positions:
Dy (0.0000, 0.0000, 0.0000)  3 Rh 2.88-2.96, 4 Cu 2.96
Dy (0.0000, 0.5000, 0.5000)  3 Rh 2.88-2.96, 4 Cu 2.96
Ho (0.5000, 0.0000, 0.7219)  3 Cu 2.90-2.96, 4 Rh 2.94
Ho (0.5000, 0.5000, 0.2219)  3 Cu 2.90-2.96, 4 Rh 2.94
Cu (0.5000, 0.0000, 0.4356)  2 Rh 2.72, 3 Ho 2.90-2.96, 4 Dy 2.96
Cu (0.5000, 0.5000, 0.9356)  2 Rh 2.72, 3 Ho 2.90-2.96, 4 Dy 2.96
Rh (0.0000, 0.0000, 0.2785)  2 Cu 2.72, 3 Dy 2.88-2.96, 4 Ho 2.94
Rh (0.0000, 0.5000, 0.7785)  2 Cu 2.72, 3 Dy 2.88-2.96, 4 Ho 2.94

***

2.
Below is a relaxed DyHoCuRh crystal, with properties calculated at the PBE-GGA level.

Computed properties:
N(E_F) (states/eV per atom): 0.9120
Formation energy from the elements (eV per atom): -0.574
Excess energy over the best structure of this formula in the dataset (meV per atom): 20

abc: 6.8873 6.8873 6.8873
angles: 90.00 90.00 90.00
Last column: nearest neighbours and their distance in Å.
Fractional positions:
Dy (0.0000, 0.0000, 0.0000)  4 Rh 2.98, 4 Cu 2.98
Dy (0.0000, 0.5000, 0.5000)  4 Cu 2.98, 4 Rh 2.98
Dy (0.5000, 0.0000, 0.5000)  4 Cu 2.98, 4 Rh 2.98
Dy (0.5000, 0.5000, 0.0000)  4 Cu 2.98, 4 Rh 2.98
Ho (0.0000, 0.0000, 0.5000)  4 Cu 2.98, 4 Rh 2.98
Ho (0.0000, 0.5000, 0.0000)  4 Cu 2.98, 4 Rh 2.98
Ho (0.5000, 0.0000, 0.0000)  4 Cu 2.98, 4 Rh 2.98
Ho (0.5000, 0.5000, 0.5000)  4 Rh 2.98, 4 Cu 2.98
Cu (0.2500, 0.2500, 0.7500)  4 Dy 2.98, 4 Ho 2.98
Cu (0.2500, 0.7500, 0.2500)  4 Dy 2.98, 4 Ho 2.98
Cu (0.7500, 0.2500, 0.2500)  4 Dy 2.98, 4 Ho 2.98
Cu (0.7500, 0.7500, 0.7500)  4 Dy 2.98, 4 Ho 2.98
Rh (0.2500, 0.2500, 0.2500)  4 Dy 2.98, 4 Ho 2.98
Rh (0.2500, 0.7500, 0.7500)  4 Dy 2.98, 4 Ho 2.98
Rh (0.7500, 0.2500, 0.7500)  4 Dy 2.98, 4 Ho 2.98
Rh (0.7500, 0.7500, 0.2500)  4 Dy 2.98, 4 Ho 2.98

***

3.
Below is a relaxed DyHoCuRu crystal, with properties calculated at the PBE-GGA level.

Computed properties:
N(E_F) (states/eV per atom): 0.7662
Formation energy from the elements (eV per atom): -0.345

abc: 6.8505 6.8505 6.8505
angles: 90.00 90.00 90.00
Last column: nearest neighbours and their distance in Å.
Fractional positions:
Dy (0.0000, 0.0000, 0.0000)  4 Ru 2.97, 4 Cu 2.97
Dy (0.0000, 0.5000, 0.5000)  4 Ru 2.97, 4 Cu 2.97
Dy (0.5000, 0.0000, 0.5000)  4 Ru 2.97, 4 Cu 2.97
Dy (0.5000, 0.5000, 0.0000)  4 Ru 2.97, 4 Cu 2.97
Ho (0.0000, 0.0000, 0.5000)  4 Ru 2.97, 4 Cu 2.97
Ho (0.0000, 0.5000, 0.0000)  4 Ru 2.97, 4 Cu 2.97
Ho (0.5000, 0.0000, 0.0000)  4 Ru 2.97, 4 Cu 2.97
Ho (0.5000, 0.5000, 0.5000)  4 Ru 2.97, 4 Cu 2.97
Cu (0.2500, 0.2500, 0.7500)  4 Dy 2.97, 4 Ho 2.97
Cu (0.2500, 0.7500, 0.2500)  4 Dy 2.97, 4 Ho 2.97
Cu (0.7500, 0.2500, 0.2500)  4 Dy 2.97, 4 Ho 2.97
Cu (0.7500, 0.7500, 0.7500)  4 Dy 2.97, 4 Ho 2.97
Ru (0.2500, 0.2500, 0.2500)  4 Dy 2.97, 4 Ho 2.97
Ru (0.2500, 0.7500, 0.7500)  4 Dy 2.97, 4 Ho 2.97
Ru (0.7500, 0.2500, 0.7500)  4 Dy 2.97, 4 Ho 2.97
Ru (0.7500, 0.7500, 0.2500)  4 Dy 2.97, 4 Ho 2.97

***

4.
Below is a relaxed Dy2HoCuS5 crystal, with properties calculated at the PBE-GGA level.

Computed properties:
N(E_F) (states/eV per atom): 0.0080
Raw formation energy (eV per atom): -1.7141

abc: 8.5542 8.5542 11.4062
angles: 90.00 90.00 154.20
Last column: nearest neighbours and their distance in Å.
Fractional positions:
Dy (0.1064, 0.8936, 0.5000)  8 S 2.83-3.05
Dy (0.1201, 0.8799, 0.1233)  7 S 2.76-3.06
Dy (0.8799, 0.1201, 0.6233)  7 S 2.76-3.06
Dy (0.8936, 0.1064, 0.0000)  8 S 2.83-3.05
Ho (0.1947, 0.8053, 0.8256)  6 S 2.62-2.73
Ho (0.8053, 0.1947, 0.3256)  6 S 2.62-2.73
Cu (0.4419, 0.5581, 0.2715)  4 S 2.26-2.44
Cu (0.5581, 0.4419, 0.7715)  4 S 2.26-2.44
S (0.0423, 0.9577, 0.8802)  2 Cu 2.29
S (0.2893, 0.7107, 0.4935)  2 Ho 2.72, 2 Dy 2.85
S (0.3174, 0.6826, 0.1594)  1 Cu 2.44, 2 Ho 2.70
S (0.3582, 0.6418, 0.8170)  1 Ho 2.73, 4 Dy 2.89-2.94
S (0.4975, 0.5025, 0.5942)  1 Cu 2.26
S (0.5025, 0.4975, 0.0942)  1 Cu 2.26
S (0.6418, 0.3582, 0.3170)  1 Ho 2.73, 4 Dy 2.89-2.94
S (0.6826, 0.3174, 0.6594)  1 Cu 2.44, 2 Ho 2.70
S (0.7107, 0.2893, 0.9935)  2 Ho 2.72, 2 Dy 2.85
S (0.9577, 0.0423, 0.3802)  2 Cu 2.29

***

5.
Below is a relaxed DyHo4CuS8 crystal, with properties calculated at the PBE-GGA level.

Computed properties:
Raw formation energy (eV per atom): -1.8158

abc: 7.8969 7.8969 7.8969
angles: 59.92 59.92 59.92
Last column: nearest neighbours and their distance in Å.
Fractional positions:
Dy (0.0000, 0.0000, 0.0000)  6 S 2.72-2.76
Ho (0.9999, 0.9999, 0.4808)  6 S 2.72-2.75
Ho (0.9999, 0.4808, 0.9999)  6 S 2.72-2.75
Ho (0.4808, 0.9999, 0.9999)  6 S 2.72-2.75
Ho (0.6203, 0.6203, 0.6203)  4 S 2.59
Cu (0.3693, 0.3693, 0.3693)  4 S 2.44-2.45
S (0.2188, 0.7534, 0.7534)  3 Ho 2.59-2.75, 1 Dy 2.76
S (0.2433, 0.2433, 0.2433)  1 Cu 2.44, 3 Ho 2.72
S (0.2440, 0.2440, 0.7502)  1 Cu 2.45, 2 Ho 2.72, 1 Dy 2.72
S (0.2440, 0.7502, 0.2440)  1 Cu 2.45, 2 Ho 2.72, 1 Dy 2.72
S (0.7502, 0.2440, 0.2440)  1 Cu 2.45, 2 Ho 2.72, 1 Dy 2.72
S (0.7534, 0.2188, 0.7534)  3 Ho 2.59-2.75, 1 Dy 2.76
S (0.7534, 0.7534, 0.2188)  3 Ho 2.59-2.75, 1 Dy 2.76
S (0.7542, 0.7542, 0.7542)  4 Ho 2.59-2.75

***

6.
Below is a relaxed DyHo2CuS5 crystal, with properties calculated at the PBE-GGA level.

Computed properties:
N(E_F) (states/eV per atom): 0.0101
Raw formation energy (eV per atom): -1.6993

abc: 8.5979 8.5979 11.3621
angles: 90.00 90.00 154.40
Last column: nearest neighbours and their distance in Å.
Fractional positions:
Dy (0.1946, 0.8054, 0.5000)  6 S 2.63-2.75
Dy (0.8054, 0.1946, 0.0000)  6 S 2.63-2.75
Ho (0.1052, 0.8948, 0.1739)  8 S 2.81-3.10
Ho (0.1187, 0.8813, 0.7973)  7 S 2.74-3.03
Ho (0.8813, 0.1187, 0.2973)  7 S 2.74-3.03
Ho (0.8948, 0.1052, 0.6739)  8 S 2.81-3.10
Cu (0.4417, 0.5583, 0.9461)  4 S 2.26-2.42
Cu (0.5583, 0.4417, 0.4461)  4 S 2.26-2.42
S (0.0421, 0.9579, 0.5554)  2 Cu 2.29
S (0.2903, 0.7097, 0.1703)  2 Dy 2.73, 2 Ho 2.84
S (0.3196, 0.6804, 0.8321)  1 Cu 2.42, 2 Dy 2.71
S (0.3584, 0.6416, 0.4917)  1 Dy 2.75, 4 Ho 2.88-2.94
S (0.4973, 0.5027, 0.2688)  1 Cu 2.26
S (0.5027, 0.4973, 0.7688)  1 Cu 2.26
S (0.6416, 0.3584, 0.9917)  1 Dy 2.75, 4 Ho 2.88-2.94
S (0.6804, 0.3196, 0.3321)  1 Cu 2.42, 2 Dy 2.71
S (0.7097, 0.2903, 0.6703)  2 Dy 2.73, 2 Ho 2.84
S (0.9579, 0.0421, 0.0554)  2 Cu 2.29

***

7.
Below is a relaxed DyHoScCu crystal, with properties calculated at the PBE-GGA level.

Computed properties:
N(E_F) (states/eV per atom): 0.8548
Formation energy from the elements (eV per atom): 0.120

abc: 7.2691 7.2691 7.2691
angles: 90.00 90.00 90.00
Last column: nearest neighbours and their distance in Å.
Fractional positions:
Dy (0.0000, 0.0000, 0.0000)  4 Sc 3.15, 4 Cu 3.15
Dy (0.0000, 0.5000, 0.5000)  4 Sc 3.15, 4 Cu 3.15
Dy (0.5000, 0.0000, 0.5000)  4 Sc 3.15, 4 Cu 3.15
Dy (0.5000, 0.5000, 0.0000)  4 Sc 3.15, 4 Cu 3.15
Ho (0.0000, 0.0000, 0.5000)  4 Cu 3.15, 4 Sc 3.15
Ho (0.0000, 0.5000, 0.0000)  4 Cu 3.15, 4 Sc 3.15
Ho (0.5000, 0.0000, 0.0000)  4 Cu 3.15, 4 Sc 3.15
Ho (0.5000, 0.5000, 0.5000)  4 Sc 3.15, 4 Cu 3.15
Sc (0.2500, 0.2500, 0.2500)  4 Ho 3.15, 4 Dy 3.15
Sc (0.2500, 0.7500, 0.7500)  4 Dy 3.15, 4 Ho 3.15
Sc (0.7500, 0.2500, 0.7500)  4 Dy 3.15, 4 Ho 3.15
Sc (0.7500, 0.7500, 0.2500)  4 Dy 3.15, 4 Ho 3.15
Cu (0.2500, 0.2500, 0.7500)  4 Dy 3.15, 4 Ho 3.15
Cu (0.2500, 0.7500, 0.2500)  4 Dy 3.15, 4 Ho 3.15
Cu (0.7500, 0.2500, 0.2500)  4 Dy 3.15, 4 Ho 3.15
Cu (0.7500, 0.7500, 0.7500)  4 Dy 3.15, 4 Ho 3.15

***

8.
Below is a relaxed Dy2HoCuSe5 crystal, with properties calculated at the PBE-GGA level.

Computed properties:
N(E_F) (states/eV per atom): 0.0099
Raw formation energy (eV per atom): -1.5319

abc: 8.9473 8.9473 11.9786
angles: 90.00 90.00 154.30
Last column: nearest neighbours and their distance in Å.
Fractional positions:
Dy (0.1077, 0.8923, 0.5000)  8 Se 2.96-3.15
Dy (0.1215, 0.8785, 0.1221)  7 Se 2.90-3.20
Dy (0.8785, 0.1215, 0.6221)  7 Se 2.90-3.20
Dy (0.8923, 0.1077, 0.0000)  8 Se 2.96-3.15
Ho (0.1927, 0.8073, 0.8258)  6 Se 2.73-2.88
Ho (0.8073, 0.1927, 0.3258)  6 Se 2.73-2.88
Cu (0.4359, 0.5641, 0.2723)  4 Se 2.40-2.52
Cu (0.5641, 0.4359, 0.7723)  4 Se 2.40-2.52
Se (0.0413, 0.9587, 0.8819)  2 Cu 2.42
Se (0.2881, 0.7119, 0.4928)  2 Ho 2.84, 3 Dy 2.97-3.15
Se (0.3150, 0.6850, 0.1575)  1 Cu 2.52
Se (0.3574, 0.6426, 0.8163)  1 Ho 2.88, 4 Dy 3.03-3.08
Se (0.4982, 0.5018, 0.5964)  1 Cu 2.40
Se (0.5018, 0.4982, 0.0964)  1 Cu 2.40
Se (0.6426, 0.3574, 0.3163)  1 Ho 2.88, 4 Dy 3.03-3.08
Se (0.6850, 0.3150, 0.6575)  1 Cu 2.52
Se (0.7119, 0.2881, 0.9928)  2 Ho 2.84, 3 Dy 2.97-3.15
Se (0.9587, 0.0413, 0.3819)  2 Cu 2.42

***

no.,total magnetization (μB/f.u.)
1,0.0
2,0.0
3,0.0
4,0.0
5,0.0
6,0.0
7,0.0
8,0.0